# PBE Ca2ZnNi3, relaxed
# DOS at the Fermi energy: 14.1 states/eV/cell
# distance to the lowest polymorph of the same formula: 0.404 eV/atom
# symmetry: Cmmm (65)
# E_form: 0.185 eV per atom
# calculated volume: 399.8 Å³ per cell
data_Ca2ZnNi3
_chemical_formula_sum 'Ca6 Zn3 Ni9'
_space_group_name_H-M_alt 'P 1'
_space_group_IT_number 1
_space_group_name_Hall 'P 1'
_cell_length_a 10.675
_cell_length_b 10.675
_cell_length_c 4.050
_cell_angle_alpha 90.00
_cell_angle_beta 90.00
_cell_angle_gamma 119.96
loop_
_atom_site_label
_atom_site_type_symbol
_atom_site_fract_x
_atom_site_fract_y
_atom_site_fract_z
Ca1 Ca 0.196 0.393 0.000
Ca2 Ca 0.197 0.803 0.000
Ca3 Ca 0.393 0.196 0.000
Ca4 Ca 0.607 0.804 0.000
Ca5 Ca 0.803 0.197 0.000
Ca6 Ca 0.804 0.607 0.000
Zn1 Zn 0.000 0.000 0.000
Zn2 Zn 0.334 0.666 0.500
Zn3 Zn 0.666 0.334 0.500
Ni1 Ni 0.000 0.392 0.500
Ni2 Ni 0.000 0.500 0.000
Ni3 Ni 0.000 0.608 0.500
Ni4 Ni 0.392 0.000 0.500
Ni5 Ni 0.392 0.392 0.500
Ni6 Ni 0.500 0.000 0.000
Ni7 Ni 0.500 0.500 0.000
Ni8 Ni 0.608 0.000 0.500
Ni9 Ni 0.608 0.608 0.500

=====

# PBE CaZnNi2, relaxed
# DOS at the Fermi energy: 2.4 states/eV/cell
# symmetry: P2/m (10)
# E_form: 0.064 eV per atom
# calculated volume: 76.9 Å³ per cell
data_CaZnNi2
_chemical_formula_sum 'Ca1 Zn1 Ni2'
_space_group_name_H-M_alt 'P 1'
_space_group_IT_number 1
_space_group_name_Hall 'P 1'
_cell_length_a 4.008
_cell_length_b 4.019
_cell_length_c 4.778
_cell_angle_alpha 90.00
_cell_angle_beta 92.80
_cell_angle_gamma 90.00
loop_
_atom_site_label
_atom_site_type_symbol
_atom_site_fract_x
_atom_site_fract_y
_atom_site_fract_z
Ca1 Ca 0.000 0.000 0.000
Zn1 Zn 0.500 0.000 0.500
Ni1 Ni 0.457 0.500 0.760
Ni2 Ni 0.543 0.500 0.240

=====

# PBE Ca4Zn3Ni2, relaxed
# DOS at the Fermi energy: 4.4 states/eV/cell
# symmetry: C2/m (12)
# E_form: -0.229 eV per atom
# calculated volume: 206.8 Å³ per cell
data_Ca4Zn3Ni2
_chemical_formula_sum 'Ca4 Zn3 Ni2'
_space_group_name_H-M_alt 'P 1'
_space_group_IT_number 1
_space_group_name_Hall 'P 1'
_cell_length_a 8.091
_cell_length_b 8.091
_cell_length_c 7.152
_cell_angle_alpha 109.26
_cell_angle_beta 109.26
_cell_angle_gamma 28.02
loop_
_atom_site_label
_atom_site_type_symbol
_atom_site_fract_x
_atom_site_fract_y
_atom_site_fract_z
Ca1 Ca 0.074 0.074 0.369
Ca2 Ca 0.270 0.270 0.809
Ca3 Ca 0.730 0.730 0.191
Ca4 Ca 0.926 0.926 0.631
Zn1 Zn 0.401 0.401 0.256
Zn2 Zn 0.500 0.500 0.000
Zn3 Zn 0.599 0.599 0.744
Ni1 Ni 0.090 0.090 0.955
Ni2 Ni 0.910 0.910 0.045

=====

# PBE Ca3Zn2Ni4, relaxed
# DOS at the Fermi energy: 5.2 states/eV/cell
# symmetry: C2/m (12)
# E_form: -0.250 eV per atom
# calculated volume: 169.5 Å³ per cell
data_Ca3Zn2Ni4
_chemical_formula_sum 'Ca3 Zn2 Ni4'
_space_group_name_H-M_alt 'P 1'
_space_group_IT_number 1
_space_group_name_Hall 'P 1'
_cell_length_a 5.522
_cell_length_b 5.522
_cell_length_c 8.150
_cell_angle_alpha 101.06
_cell_angle_beta 101.06
_cell_angle_gamma 44.19
loop_
_atom_site_label
_atom_site_type_symbol
_atom_site_fract_x
_atom_site_fract_y
_atom_site_fract_z
Ca1 Ca 0.000 0.000 0.000
Ca2 Ca 0.375 0.375 0.622
Ca3 Ca 0.625 0.625 0.378
Zn1 Zn 0.321 0.321 0.226
Zn2 Zn 0.679 0.679 0.774
Ni1 Ni 0.085 0.085 0.633
Ni2 Ni 0.253 0.253 0.917
Ni3 Ni 0.747 0.747 0.083
Ni4 Ni 0.915 0.915 0.367

=====

# PBE CaZnNi2, relaxed
# DOS at the Fermi energy: 1.6 states/eV/cell
# symmetry: P4/mmm (123)
# E_form: 0.025 eV per atom
# calculated volume: 61.9 Å³ per cell
data_CaZnNi2
_chemical_formula_sum 'Ca1 Zn1 Ni2'
_space_group_name_H-M_alt 'P 1'
_space_group_IT_number 1
_space_group_name_Hall 'P 1'
_cell_length_a 4.119
_cell_length_b 4.119
_cell_length_c 3.647
_cell_angle_alpha 90.00
_cell_angle_beta 90.00
_cell_angle_gamma 90.00
loop_
_atom_site_label
_atom_site_type_symbol
_atom_site_fract_x
_atom_site_fract_y
_atom_site_fract_z
Ca1 Ca 0.000 0.000 0.000
Zn1 Zn 0.500 0.500 0.000
Ni1 Ni 0.000 0.500 0.500
Ni2 Ni 0.500 0.000 0.500

=====

# PBE CaZnNi3, relaxed
# DOS at the Fermi energy: 8.9 states/eV/cell
# distance to the lowest polymorph of the same formula: 0.000 eV/atom
# symmetry: Imma (74)
# E_form: -0.113 eV per atom
# calculated volume: 166.3 Å³ per cell
data_CaZnNi3
_chemical_formula_sum 'Ca2 Zn2 Ni6'
_space_group_name_H-M_alt 'P 1'
_space_group_IT_number 1
_space_group_name_Hall 'P 1'
_cell_length_a 6.352
_cell_length_b 6.352
_cell_length_c 6.352
_cell_angle_alpha 135.48
_cell_angle_beta 99.02
_cell_angle_gamma 97.48
loop_
_atom_site_label
_atom_site_type_symbol
_atom_site_fract_x
_atom_site_fract_y
_atom_site_fract_z
Ca1 Ca 0.292 0.042 0.250
Ca2 Ca 0.708 0.958 0.750
Zn1 Zn 0.000 0.500 0.500
Zn2 Zn 0.500 0.500 0.000
Ni1 Ni 0.059 0.309 0.750
Ni2 Ni 0.240 0.000 0.740
Ni3 Ni 0.240 0.500 0.240
Ni4 Ni 0.760 0.000 0.260
Ni5 Ni 0.760 0.500 0.760
Ni6 Ni 0.941 0.691 0.250

=====

# PBE CaZn4Ni, relaxed
# DOS at the Fermi energy: 5.9 states/eV/cell
# distance to the lowest polymorph of the same formula: 0.000 eV/atom
# symmetry: Pmma (51)
# E_form: -0.227 eV per atom
# calculated volume: 208.1 Å³ per cell
data_CaZn4Ni
_chemical_formula_sum 'Ca2 Zn8 Ni2'
_space_group_name_H-M_alt 'P 1'
_space_group_IT_number 1
_space_group_name_Hall 'P 1'
_cell_length_a 7.902
_cell_length_b 3.879
_cell_length_c 6.788
_cell_angle_alpha 90.00
_cell_angle_beta 90.00
_cell_angle_gamma 90.00
loop_
_atom_site_label
_atom_site_type_symbol
_atom_site_fract_x
_atom_site_fract_y
_atom_site_fract_z
Ca1 Ca 0.250 0.000 0.106
Ca2 Ca 0.750 0.000 0.894
Zn1 Zn 0.000 0.000 0.500
Zn2 Zn 0.059 0.500 0.801
Zn3 Zn 0.250 0.500 0.458
Zn4 Zn 0.441 0.500 0.801
Zn5 Zn 0.500 0.000 0.500
Zn6 Zn 0.559 0.500 0.199
Zn7 Zn 0.750 0.500 0.542
Zn8 Zn 0.941 0.500 0.199
Ni1 Ni 0.250 0.000 0.697
Ni2 Ni 0.750 0.000 0.303

=====

# PBE CaZnNi2, relaxed
# DOS at the Fermi energy: 4.5 states/eV/cell
# symmetry: I-42d (122)
# E_form: 0.069 eV per atom
# calculated volume: 160.4 Å³ per cell
data_CaZnNi2
_chemical_formula_sum 'Ca2 Zn2 Ni4'
_space_group_name_H-M_alt 'P 1'
_space_group_IT_number 1
_space_group_name_Hall 'P 1'
_cell_length_a 8.825
_cell_length_b 8.825
_cell_length_c 8.825
_cell_angle_alpha 151.08
_cell_angle_beta 151.08
_cell_angle_gamma 41.35
loop_
_atom_site_label
_atom_site_type_symbol
_atom_site_fract_x
_atom_site_fract_y
_atom_site_fract_z
Ca1 Ca 0.000 0.000 0.000
Ca2 Ca 0.750 0.250 0.500
Zn1 Zn 0.250 0.750 0.500
Zn2 Zn 0.500 0.500 0.000
Ni1 Ni 0.310 0.625 0.185
Ni2 Ni 0.375 0.560 0.685
Ni3 Ni 0.440 0.125 0.815
Ni4 Ni 0.875 0.690 0.315

=====

# PBE CaZn10Ni2, relaxed
# DOS at the Fermi energy: 5.4 states/eV/cell
# symmetry: Fmmm (69)
# E_form: -0.187 eV per atom
# calculated volume: 199.4 Å³ per cell
data_CaZn10Ni2
_chemical_formula_sum 'Ca1 Zn10 Ni2'
_space_group_name_H-M_alt 'P 1'
_space_group_IT_number 1
_space_group_name_Hall 'P 1'
_cell_length_a 8.907
_cell_length_b 6.804
_cell_length_c 6.758
_cell_angle_alpha 82.10
_cell_angle_beta 49.17
_cell_angle_gamma 48.72
loop_
_atom_site_label
_atom_site_type_symbol
_atom_site_fract_x
_atom_site_fract_y
_atom_site_fract_z
Ca1 Ca 0.000 0.000 0.000
Zn1 Zn 0.000 0.500 0.000
Zn2 Zn 0.016 0.652 0.348
Zn3 Zn 0.281 0.508 0.492
Zn4 Zn 0.348 0.984 0.016
Zn5 Zn 0.492 0.719 0.281
Zn6 Zn 0.500 0.000 0.500
Zn7 Zn 0.508 0.281 0.719
Zn8 Zn 0.652 0.016 0.984
Zn9 Zn 0.719 0.492 0.508
Zn10 Zn 0.984 0.348 0.652
Ni1 Ni 0.000 0.000 0.500
Ni2 Ni 0.500 0.500 0.000

=====

# PBE Ca2Zn5Ni5, relaxed
# DOS at the Fermi energy: 5.1 states/eV/cell
# symmetry: Pmmm (47)
# E_form: -0.272 eV per atom
# calculated volume: 186.0 Å³ per cell
data_Ca2Zn5Ni5
_chemical_formula_sum 'Ca2 Zn5 Ni5'
_space_group_name_H-M_alt 'P 1'
_space_group_IT_number 1
_space_group_name_Hall 'P 1'
_cell_length_a 3.965
_cell_length_b 5.200
_cell_length_c 9.021
_cell_angle_alpha 90.00
_cell_angle_beta 90.00
_cell_angle_gamma 90.00
loop_
_atom_site_label
_atom_site_type_symbol
_atom_site_fract_x
_atom_site_fract_y
_atom_site_fract_z
Ca1 Ca 0.000 0.000 0.000
Ca2 Ca 0.000 0.500 0.500
Zn1 Zn 0.000 0.000 0.320
Zn2 Zn 0.000 0.000 0.680
Zn3 Zn 0.000 0.500 0.167
Zn4 Zn 0.000 0.500 0.833
Zn5 Zn 0.500 0.000 0.500
Ni1 Ni 0.500 0.252 0.248
Ni2 Ni 0.500 0.252 0.752
Ni3 Ni 0.500 0.500 0.000
Ni4 Ni 0.500 0.748 0.248
Ni5 Ni 0.500 0.748 0.752

=====

Number 1: electronic total energy -64.53 eV/cell. Number 2: electronic total energy -14.58 eV/cell. Number 3: electronic total energy -25.45 eV/cell. Number 4: electronic total energy -33.93 eV/cell. Number 5: electronic total energy -14.74 eV/cell. Number 6: electronic total energy -42.37 eV/cell. Number 7: electronic total energy -28.48 eV/cell. Number 8: electronic total energy -29.12 eV/cell. Number 9: electronic total energy -28.74 eV/cell. Number 10: electronic total energy -42.54 eV/cell.